Run i
Below is a relaxed structure of RbIn2Ni2, with properties calculated at the GGA-PBE level.

The structure in POSCAR format:
```
RbIn2Ni2
1.0
8.300 0.000 0.000
0.000 8.300 0.000
0.000 0.000 2.951
Ni In Rb
4 4 2
Cartesian
2.848 6.997 0.000
1.302 2.848 0.000
6.997 5.452 0.000
5.452 1.302 0.000
3.049 1.101 1.476
7.199 3.049 1.476
5.250 7.199 1.476
1.101 5.250 1.476
0.000 0.000 0.000
4.150 4.150 0.000
```

Values from the calculation:
Symmetry: P4/mbm
Theoretical density in g cm⁻³: 7.065


Run ii
Below is a relaxed structure of RbIn2Ni2, with properties calculated at the GGA-PBE level.

The structure in POSCAR format:
```
RbIn2Ni2
1.0
4.686 0.000 0.000
0.000 4.686 0.000
2.343 2.343 5.618
In Ni Rb
2 2 1
Cartesian
2.343 2.343 1.718
4.686 4.686 3.900
4.686 2.343 2.809
2.343 4.686 2.809
0.000 0.000 0.000
```

Values from the calculation:
Symmetry: I4/mmm
Theoretical density in g cm⁻³: 5.823


Run iii
Below is a relaxed structure of RbIn2Ni2, with properties calculated at the GGA-PBE level.

The structure in POSCAR format:
```
RbIn2Ni2
1.0
-1.261 4.453 -0.379
-1.956 -0.904 -4.114
-6.221 0.676 0.188
In Rb Ni
2 1 2
Cartesian
-4.545 3.452 -1.219
-4.892 0.773 -3.086
0.000 0.000 0.000
-6.767 2.703 -2.619
-2.671 1.522 -1.686
```

Values from the calculation:
Symmetry: I4/mmm
Theoretical density in g cm⁻³: 6.248


In terms of stability, run ii leads; the second structure lies 27 meV per atom higher.